Entry 1:
Below is an optimized crystal structure of Sc2CrTcC, with properties calculated at the GGA-PBE level.

```
5
Lattice="4.945 0.000 0.000 0.000 4.459 0.000 0.000 0.000 4.945" Properties=species:S:1:pos:R:3 pbc="T T T"
Sc 0.000 0.000 2.472
Sc 2.472 0.000 0.000
Cr 0.000 2.229 0.000
C 2.472 2.229 2.472
Tc 0.000 0.000 0.000
```

Properties
The size of the total moment is 2.733 μB per formula unit. The energy relative to the elements comes out at 746.1 kJ/mol of formula units.

***

Entry 2:
Below is an optimized crystal structure of ThSc2Cr2C4, with properties calculated at the GGA-PBE level.

```
9
Lattice="-0.898 -2.691 1.486 -0.232 -1.592 -6.476 5.385 -0.574 2.215" Properties=species:S:1:pos:R:3 pbc="T T T"
Th 0.000 0.000 0.000
Sc 1.518 -3.656 -2.254
Sc 2.738 -1.202 -0.522
Cr -0.291 -1.913 -3.641
Cr 4.547 -2.945 0.865
C 3.367 -3.419 -0.707
C 0.889 -1.439 -2.069
C 1.329 -3.055 -4.731
C 2.927 -1.802 1.955
```

Properties
The size of the total moment is 0.000 μB per formula unit. The energy relative to the elements comes out at -155.1 kJ/mol of formula units.

***

Entry 3:
Below is an optimized crystal structure of Sc2TiCr2C4, with properties calculated at the GGA-PBE level.

```
9
Lattice="3.177 0.000 0.000 -1.588 6.035 0.174 0.000 -1.940 5.166" Properties=species:S:1:pos:R:3 pbc="T T T"
Sc 1.588 3.552 2.534
Sc 0.000 0.543 2.806
Ti 0.000 0.000 0.000
Cr 0.000 3.933 0.149
Cr 1.588 0.161 5.191
C 1.588 1.899 4.154
C 0.000 2.195 1.186
C 0.000 5.253 1.528
C 1.588 -1.158 3.812
```

Properties
The size of the total moment is 0.000 μB per formula unit. The energy relative to the elements comes out at -226.1 kJ/mol of formula units.

***

Entry 4:
Below is an optimized crystal structure of Sc2UCrC4, with properties calculated at the GGA-PBE level.

```
16
Lattice="-0.135 2.573 -2.061 -4.363 0.710 3.813 6.844 5.772 6.759" Properties=species:S:1:pos:R:3 pbc="T T T"
Sc 0.430 4.621 5.741
Sc -0.908 2.052 -0.019
Sc 1.916 4.434 2.770
Sc 3.255 7.002 8.530
U 4.260 4.722 5.617
U -1.914 4.332 2.893
Cr 2.095 6.954 5.904
Cr 0.251 2.101 2.607
C -1.502 1.825 2.377
C 2.201 5.840 4.507
C 3.848 7.230 6.134
C 0.146 3.214 4.004
C 3.422 2.886 3.379
C 0.000 0.000 0.000
C 1.284 6.063 7.486
C 1.062 2.991 1.024
```

Properties
The size of the total moment is 1.631 μB per formula unit. The energy relative to the elements comes out at -104.4 kJ/mol of formula units.

***

Entry 5:
Below is an optimized crystal structure of ScVCr2C, with properties calculated at the GGA-PBE level.

```
5
Lattice="-3.386 -0.788 2.271 -1.043 -3.515 -2.776 2.212 -2.559 2.410" Properties=species:S:1:pos:R:3 pbc="T T T"
Sc 0.000 0.000 0.000
Cr 1.106 -1.279 1.205
Cr -1.693 -0.394 1.135
C -1.109 -3.431 0.952
V -0.521 -1.758 -1.388
```

Properties
The size of the total moment is 0.000 μB per formula unit. The energy relative to the elements comes out at 1465.1 kJ/mol of formula units.

***

Entry 6:
Below is an optimized crystal structure of ScVCrC2, with properties calculated at the GGA-PBE level.

```
10
Lattice="3.192 0.000 0.000 1.596 6.033 -0.149 1.596 0.838 6.147" Properties=species:S:1:pos:R:3 pbc="T T T"
Sc 4.788 5.157 3.653
Sc 1.596 1.714 2.346
V 3.192 3.044 5.452
V 3.192 3.826 0.546
Cr 1.596 1.108 5.075
Cr 4.788 5.762 0.924
C 3.192 5.424 1.941
C 3.192 1.447 4.058
C 3.192 1.712 0.521
C 3.192 5.158 5.478
```

Properties
The size of the total moment is 0.000 μB per formula unit. The energy relative to the elements comes out at -157.1 kJ/mol of formula units.

***

Entry 7:
Below is an optimized crystal structure of Sc2VCr2C4, with properties calculated at the GGA-PBE level.

```
9
Lattice="-1.339 -2.852 0.014 5.458 -0.809 2.510 -3.488 1.657 3.996" Properties=species:S:1:pos:R:3 pbc="T T T"
Sc 1.235 -2.302 3.731
Sc -0.605 0.298 2.789
V 0.000 0.000 0.000
Cr 3.161 -1.475 1.677
Cr -2.530 -0.529 4.843
C -0.709 -1.385 4.545
C 1.339 -0.619 1.976
C 3.769 -1.752 3.470
C -3.138 -0.252 3.050
```

Properties
The size of the total moment is 0.000 μB per formula unit. The energy relative to the elements comes out at -179.5 kJ/mol of formula units.

***

Entry 8:
Below is an optimized crystal structure of Sc2Cr2WC4, with properties calculated at the GGA-PBE level.

```
9
Lattice="-1.672 -2.635 -0.322 2.577 -0.448 5.565 -4.873 3.053 0.326" Properties=species:S:1:pos:R:3 pbc="T T T"
Sc -1.823 -1.193 3.955
Sc -2.144 1.164 1.615
Cr 1.066 -1.108 3.530
Cr -5.034 1.078 2.039
W 0.000 0.000 0.000
C -3.648 0.058 3.196
C -0.319 -0.087 2.374
C 0.415 -0.915 5.338
C -4.382 0.886 0.232
```

Properties
The size of the total moment is 0.000 μB per formula unit. The energy relative to the elements comes out at -109.4 kJ/mol of formula units.

***

Entry 9:
Below is an optimized crystal structure of YSc2Cr2C4, with properties calculated at the GGA-PBE level.

```
9
Lattice="3.176 0.000 0.000 -1.588 6.471 0.026 0.000 -2.227 5.221" Properties=species:S:1:pos:R:3 pbc="T T T"
Y 0.000 0.000 0.000
Sc 1.588 3.497 2.412
Sc 0.000 0.747 2.835
Cr 0.000 4.152 0.155
Cr 1.588 0.093 5.091
C 1.588 1.873 4.105
C 0.000 2.371 1.142
C 0.000 5.367 1.929
C 1.588 -1.122 3.318
```

Properties
The size of the total moment is 0.000 μB per formula unit. The energy relative to the elements comes out at -190.7 kJ/mol of formula units.

***

Entry 10:
Below is an optimized crystal structure of Sc2ZnCrC, with properties calculated at the GGA-PBE level.

```
5
Lattice="-4.151 -1.788 0.495 1.775 -3.474 2.336 -0.459 1.975 3.284" Properties=species:S:1:pos:R:3 pbc="T T T"
Sc 0.888 -1.737 1.168
Sc -2.076 -0.894 0.248
Cr -0.229 0.987 1.642
Zn -1.418 -1.644 3.058
C 0.000 0.000 0.000
```

Properties
The size of the total moment is 1.819 μB per formula unit. The energy relative to the elements comes out at -156.7 kJ/mol of formula units.

***

Entry 11:
Below is an optimized crystal structure of ZrSc2Cr2C4, with properties calculated at the GGA-PBE level.

```
9
Lattice="3.186 0.000 0.000 -1.593 6.270 0.138 0.000 -2.048 5.087" Properties=species:S:1:pos:R:3 pbc="T T T"
Zr 0.000 0.000 0.000
Sc 1.593 3.528 2.436
Sc 0.000 0.694 2.788
Cr 0.000 4.075 0.195
Cr 1.593 0.147 5.030
C 1.593 1.926 4.072
C 0.000 2.295 1.153
C 0.000 5.299 1.945
C 1.593 -1.077 3.279
```

Properties
The size of the total moment is 0.000 μB per formula unit. The energy relative to the elements comes out at -257.9 kJ/mol of formula units.

***

Entry 12:
Below is an optimized crystal structure of Cr3CSe, with properties calculated at the GGA-PBE level.

```
5
Lattice="-1.818 -3.448 1.895 3.859 -1.157 1.598 -0.765 2.357 3.556" Properties=species:S:1:pos:R:3 pbc="T T T"
Cr 1.930 -0.579 0.799
Cr -0.383 1.179 1.778
Cr -0.909 -1.724 0.947
C 0.638 -1.124 3.524
Se 0.000 0.000 0.000
```

Properties
The size of the total moment is 0.001 μB per formula unit. The calculation puts the energy above the lowest structure with this stoichiometry at 10.118 eV per formula unit. The value obtained for the uncorrected formation energy is 2.310 eV/atom.

***

Entry 13:
Below is an optimized crystal structure of Cr2CSe, with properties calculated at the GGA-PBE level.

```
8
Lattice="-1.339 4.832 0.312 -2.319 -0.355 -4.442 -5.971 0.944 0.201" Properties=species:S:1:pos:R:3 pbc="T T T"
Cr -2.508 2.810 -0.336
Cr -3.221 1.020 -2.661
Cr -6.043 2.357 -1.768
Cr -7.486 4.655 -3.094
C -1.829 2.238 -2.065
C -5.059 1.414 -3.153
Se 0.000 0.000 0.000
Se -4.569 4.007 -0.776
```

Properties
The size of the total moment is 4.744 μB per formula unit. The value obtained for the uncorrected formation energy is 0.186 eV/atom.

***

Entry 14:
Below is an optimized crystal structure of Cr4C2Se, with properties calculated at the GGA-PBE level.

```
7
Lattice="-1.541 -3.918 -2.159 3.779 -2.362 1.590 -1.438 -4.429 3.880" Properties=species:S:1:pos:R:3 pbc="T T T"
Cr 0.977 -6.916 1.484
Cr -0.178 -3.794 1.827
Cr 1.890 -1.181 0.795
Cr -0.771 -1.959 -1.079
C 0.023 -7.397 3.039
C 0.777 -3.313 0.272
Se 0.000 0.000 0.000
```

Properties
The size of the total moment is 13.801 μB per formula unit. The value obtained for the uncorrected formation energy is 0.857 eV/atom.

***

Entry 15:
Below is an optimized crystal structure of Cr2CSe, with properties calculated at the GGA-PBE level.

```
4
Lattice="-0.183 -3.929 -0.658 -0.044 -2.538 3.076 -3.328 -2.016 0.875" Properties=species:S:1:pos:R:3 pbc="T T T"
Cr -0.889 -2.121 0.823
Cr -2.666 -6.362 2.470
C 0.000 0.000 0.000
Se -1.778 -4.241 1.647
```

Properties
The size of the total moment is 2.243 μB per formula unit. The value obtained for the uncorrected formation energy is 0.785 eV/atom.

***

Entry 16:
Below is an optimized crystal structure of CrC3Se, with properties calculated at the GGA-PBE level.

```
5
Lattice="-1.179 -1.198 -3.525 3.217 -2.190 -0.331 -1.875 -3.003 1.648" Properties=species:S:1:pos:R:3 pbc="T T T"
Cr 0.000 0.000 0.000
C 1.608 -1.095 -0.166
C -0.938 -1.502 0.824
C -0.589 -0.599 -1.763
Se 0.081 -3.196 -1.104
```

Properties
The size of the total moment is 0.000 μB per formula unit. The calculation puts the energy above the lowest structure with this stoichiometry at 0.000 eV per formula unit. The value obtained for the uncorrected formation energy is 2.120 eV/atom.

***

Entry 17:
Below is an optimized crystal structure of Cr3CSe, with properties calculated at the GGA-PBE level.

```
5
Lattice="-1.966 -2.595 2.183 1.701 -2.938 -1.959 2.933 -0.035 2.600" Properties=species:S:1:pos:R:3 pbc="T T T"
Cr 0.851 -1.469 -0.980
Cr 1.467 -0.018 1.300
Cr -0.983 -1.297 1.092
C 0.000 0.000 0.000
Se 1.334 -2.784 1.412
```

Properties
The size of the total moment is 3.610 μB per formula unit. The calculation puts the energy above the lowest structure with this stoichiometry at 0.000 eV per formula unit. The value obtained for the uncorrected formation energy is 0.286 eV/atom.

***

Entry 18:
Below is an optimized crystal structure of CrC3Se, with properties calculated at the GGA-PBE level.

```
5
Lattice="-3.490 1.440 0.605 0.178 -1.105 3.656 1.551 3.365 0.941" Properties=species:S:1:pos:R:3 pbc="T T T"
Cr -0.880 1.850 2.601
C 0.089 -0.552 1.828
C 0.776 1.683 0.471
C -1.745 0.720 0.303
Se 0.000 0.000 0.000
```

Properties
The size of the total moment is 0.033 μB per formula unit. The calculation puts the energy above the lowest structure with this stoichiometry at 4.617 eV per formula unit. The value obtained for the uncorrected formation energy is 3.043 eV/atom.

***

Entry 19:
Below is an optimized crystal structure of Ti2CrCSe, with properties calculated at the GGA-PBE level.

```
5
Lattice="4.626 0.000 0.000 0.000 3.667 0.000 0.000 0.000 4.626" Properties=species:S:1:pos:R:3 pbc="T T T"
Cr 0.000 0.000 0.000
C 0.000 1.833 0.000
Se 2.313 1.833 2.313
Ti 0.000 0.000 2.313
Ti 2.313 0.000 0.000
```

Properties
The size of the total moment is 0.000 μB per formula unit. The value obtained for the uncorrected formation energy is 0.469 eV/atom.

***

Entry 20:
Below is an optimized crystal structure of TlCrC2Se, with properties calculated at the GGA-PBE level.

```
5
Lattice="4.228 0.000 0.000 0.000 5.693 0.000 0.000 0.000 4.228" Properties=species:S:1:pos:R:3 pbc="T T T"
Cr 2.114 2.846 2.114
Tl 0.000 0.000 0.000
C 0.000 0.000 2.114
C 2.114 0.000 0.000
Se 0.000 2.846 0.000
```

Properties
The size of the total moment is 0.908 μB per formula unit. The value obtained for the uncorrected formation energy is 3.063 eV/atom.

***

Entry 21:
Below is an optimized crystal structure of CrSiC, with properties calculated at the GGA-PBE level.

```
6
Lattice="5.044 0.000 -0.015 0.000 2.803 0.000 -1.534 0.000 4.601" Properties=species:S:1:pos:R:3 pbc="T T T"
Cr 1.040 0.000 3.099
Cr 1.807 1.402 0.799
Si -0.165 0.000 0.994
Si -0.932 1.402 3.295
C 3.161 0.000 0.401
C 2.394 1.402 2.701
```

Properties
The size of the total moment is 0.283 μB per formula unit. The calculation puts the energy above the lowest structure with this stoichiometry at 0.401 eV per formula unit. The value obtained for the uncorrected formation energy is 0.236 eV/atom.

***

Entry 22:
Below is an optimized crystal structure of Cr2SiC, with properties calculated at the GGA-PBE level.

```
8
Lattice="-0.703 -5.158 -3.550 2.175 -3.551 4.728 -1.306 -4.597 1.346" Properties=species:S:1:pos:R:3 pbc="T T T"
Cr -0.430 -4.346 -0.967
Cr 0.881 -4.484 2.524
Cr -0.229 -7.038 1.883
Cr 0.110 -10.744 1.609
Si 0.000 0.000 0.000
Si -0.637 -7.055 -0.807
C 0.736 -4.354 0.589
C 0.802 -6.251 3.332
```

Properties
The size of the total moment is 0.000 μB per formula unit. The calculation puts the energy above the lowest structure with this stoichiometry at 1.558 eV per formula unit. The value obtained for the uncorrected formation energy is 0.230 eV/atom.

***

Entry 23:
Below is an optimized crystal structure of CrSiC, with properties calculated at the GGA-PBE level.

```
3
Lattice="-1.377 2.392 0.199 -1.291 -2.268 -0.920 -1.169 -1.017 4.147" Properties=species:S:1:pos:R:3 pbc="T T T"
Cr -0.671 -0.584 2.382
Si -1.359 -0.749 -0.408
C -1.692 0.540 1.043
```

Properties
The size of the total moment is 0.202 μB per formula unit. The calculation puts the energy above the lowest structure with this stoichiometry at 0.347 eV per formula unit. The value obtained for the uncorrected formation energy is 0.218 eV/atom.

***

Entry 24:
Below is an optimized crystal structure of Cr2SiC, with properties calculated at the GGA-PBE level.

```
4
Lattice="-0.781 -2.492 1.038 1.568 -2.280 -0.490 3.511 -0.463 5.333" Properties=species:S:1:pos:R:3 pbc="T T T"
Cr 0.836 -1.391 1.093
Cr 3.461 -3.843 4.788
Si 2.149 -2.617 2.941
C 0.000 0.000 0.000
```

Properties
The size of the total moment is 0.002 μB per formula unit. The calculation puts the energy above the lowest structure with this stoichiometry at 0.032 eV per formula unit. The value obtained for the uncorrected formation energy is -0.151 eV/atom.

***

Entry 25:
Below is an optimized crystal structure of CrSiC, with properties calculated at the GGA-PBE level.

```
9
Lattice="2.767 0.000 0.000 -1.384 2.397 0.000 0.000 0.000 13.302" Properties=species:S:1:pos:R:3 pbc="T T T"
Cr 0.000 0.000 11.086
Cr 0.000 1.598 6.652
Cr 1.384 0.799 2.218
Si 0.000 0.000 8.646
Si 0.000 1.598 4.212
Si 1.384 0.799 13.080
C 0.000 0.000 5.423
C 0.000 1.598 0.989
C 1.384 0.799 9.857
```

Properties
The size of the total moment is 0.160 μB per formula unit. The calculation puts the energy above the lowest structure with this stoichiometry at 0.000 eV per formula unit. The value obtained for the uncorrected formation energy is 0.102 eV/atom.

***

Entry 26:
Below is an optimized crystal structure of Cr6SiC, with properties calculated at the GGA-PBE level.

```
8
Lattice="4.278 0.451 -0.881 2.480 4.986 -0.985 1.540 1.395 3.988" Properties=species:S:1:pos:R:3 pbc="T T T"
Cr 2.351 2.668 2.630
Cr 6.855 5.988 1.017
Cr 3.034 1.755 -0.318
Cr 1.442 0.844 1.104
Cr 5.946 4.165 -0.509
Cr 5.264 5.078 2.440
Si 4.149 3.416 1.061
C 0.000 0.000 0.000
```

Properties
The size of the total moment is 0.001 μB per formula unit. The value obtained for the uncorrected formation energy is 0.073 eV/atom.